1.
Computed, not measured: a geometry-optimized La4Se5F2 structure at the PBE-GGA level of DFT.

Cell: 17.746 4.333 8.234 Å, 90.00 102.70 90.00°
Space group C2/m (No. 12)
Unique sites:
La 0.015 0.000 0.256
La 0.211 0.500 0.223
Se 0.000 0.500 0.500
Se 0.151 0.000 0.959
Se 0.172 0.000 0.441
F 0.058 0.500 0.164

Values from the calculation:
Size of the total moment, μB/atom: 0.0000
Formation energy from raw total energies, eV per atom: -2.409

2.
Computed, not measured: a geometry-optimized BeNbCu2As structure at the PBE-GGA level of DFT.

Cell: 3.978 3.978 4.554 Å, 90.00 90.00 90.00°
Space group P4/mmm (No. 123)
Unique sites:
Be 0.000 0.000 0.000
Nb 0.500 0.500 0.500
Cu 0.000 0.500 0.000
As 0.000 0.000 0.500

Values from the calculation:
Size of the total moment, μB/atom: 0.0000
Energy of formation from the pure elements, eV/atom: 0.47

3.
Computed, not measured: a geometry-optimized Na2DyAlGe2 structure at the PBE-GGA level of DFT.

Cell: 4.301 8.760 7.235 Å, 90.00 90.00 90.00°
Space group Pmc2_1 (No. 26)
Unique sites:
Na 0.000 0.082 0.000
Na 0.500 0.160 0.316
Dy 0.500 0.444 0.962
Al 0.000 0.323 0.627
Ge 0.000 0.390 0.253
Ge 0.500 0.178 0.719

Values from the calculation:
Size of the total moment, μB/atom: 0.0000
Energy of formation from the pure elements, eV/atom: -0.41

4.
Computed, not measured: a geometry-optimized CaAgAs structure at the PBE-GGA level of DFT.

Cell: 5.738 5.753 8.444 Å, 90.00 90.00 90.00°
Space group Fmm2 (No. 42)
Unique sites:
Ca 0.000 0.000 0.000
Ag 0.000 0.000 0.660
As 0.000 0.000 0.345

Values from the calculation:
Size of the total moment, μB/atom: 0.0000
Energy of formation from the pure elements, eV/atom: -0.41